(1)
DFT (GGA-PBE) results for crystalline Cs2KRbBr at its relaxed geometry.

The structure in POSCAR format:
```
Cs2KRbBr
1.0
-7.132 1.419 1.534
-0.009 -5.477 5.023
1.927 4.444 4.850
Cs K Br Rb
2 1 1 1
Direct
0.000 0.500 0.000 Cs
0.500 0.000 0.000 Cs
0.000 0.000 0.500 K
0.000 0.000 0.000 Br
0.500 0.500 0.500 Rb
```

Output
The calculation puts the density of states at the Fermi level at 2.93 states/eV per cell. The uncorrected formation energy is -315 kJ/mol of formula units. The theoretical density comes out at 2.063 Mg/m³. For the energy above the most stable polymorph in this dataset, the calculation gives 0.015 eV per atom.

(2)
DFT (GGA-PBE) results for crystalline Nd2Dy7Er2 at its relaxed geometry.

The structure in POSCAR format:
```
Nd2Dy7Er2
1.0
-6.028 0.721 -0.012
-3.134 -7.259 1.451
-1.975 2.528 7.371
Nd Dy Er
2 7 2
Direct
0.805 0.412 0.412 Nd
0.195 0.588 0.588 Nd
0.179 0.061 0.588 Dy
0.821 0.412 0.939 Dy
0.821 0.939 0.412 Dy
0.179 0.588 0.061 Dy
0.000 0.000 0.000 Dy
0.581 0.773 0.773 Dy
0.419 0.227 0.227 Dy
0.500 0.214 0.786 Er
0.500 0.786 0.214 Er
```

Output
The calculation puts the density of states at the Fermi level at 17.61 states/eV per cell. The theoretical density comes out at 8.131 Mg/m³. For the energy above the most stable polymorph in this dataset, the calculation gives 0.022 eV per atom.

(3)
DFT (GGA-PBE) results for crystalline Ca8CdRh2 at its relaxed geometry.

The structure in POSCAR format:
```
Ca8CdRh2
1.0
-3.263 3.382 3.351
-0.614 -6.730 4.398
7.026 3.750 1.261
Ca Cd Rh
8 1 2
Direct
0.581 0.334 0.064 Ca
0.581 0.064 0.334 Ca
0.209 0.388 0.388 Ca
0.999 0.250 0.756 Ca
0.999 0.756 0.250 Ca
0.790 0.619 0.619 Ca
0.417 0.942 0.672 Ca
0.417 0.672 0.942 Ca
0.008 0.003 0.003 Cd
0.499 0.687 0.319 Rh
0.499 0.319 0.687 Rh
```

Output
The value obtained for the total energy is -3.14 eV per atom. The calculation puts the density of states at the Fermi level at 9.70 states/eV per cell. The theoretical density comes out at 3.126 Mg/m³.

(4)
DFT (GGA-PBE) results for crystalline BaBeS2Cl at its relaxed geometry.

The structure in POSCAR format:
```
BaBeS2Cl
1.0
4.461 0.000 0.000
0.000 4.461 0.000
0.000 0.000 5.314
Be S Ba Cl
1 2 1 1
Direct
0.000 0.000 0.000 Be
0.000 0.500 0.000 S
0.500 0.000 0.000 S
0.500 0.500 0.500 Ba
0.000 0.000 0.500 Cl
```

Output
The calculation puts the density of states at the Fermi level at 1.94 states/eV per cell. The uncorrected formation energy is -572 kJ/mol of formula units. The theoretical density comes out at 3.862 Mg/m³. For the energy above the most stable polymorph in this dataset, the calculation gives 0.000 eV per atom.

(5)
DFT (GGA-PBE) results for crystalline InAsCl2 at its relaxed geometry.

The structure in POSCAR format:
```
InAsCl2
1.0
-4.613 -0.232 2.903
-0.142 -5.390 -0.834
1.712 -0.460 2.683
As Cl In
1 2 1
Direct
0.000 0.500 0.500 As
0.000 0.000 0.000 Cl
0.500 0.500 0.000 Cl
0.500 0.000 0.500 In
```

Output
The calculation puts the density of states at the Fermi level at 2.77 states/eV per cell. The uncorrected formation energy is 6 kJ/mol of formula units. The theoretical density comes out at 4.523 Mg/m³. For the energy above the most stable polymorph in this dataset, the calculation gives 0.495 eV per atom.

(6)
DFT (GGA-PBE) results for crystalline YCr8 at its relaxed geometry.

The structure in POSCAR format:
```
YCr8
1.0
-2.196 -5.363 -0.108
3.692 3.002 3.309
-4.848 2.796 1.508
Y Cr
1 8
Direct
0.000 0.000 0.000 Y
0.000 0.358 0.358 Cr
0.000 0.642 0.642 Cr
0.358 0.000 0.358 Cr
0.305 0.305 0.611 Cr
0.305 0.695 0.000 Cr
0.642 0.000 0.642 Cr
0.695 0.305 0.000 Cr
0.695 0.695 0.389 Cr
```

Output
The value obtained for the total energy is -8.81 eV per atom. The calculation puts the density of states at the Fermi level at 14.31 states/eV per cell. The theoretical density comes out at 6.783 Mg/m³.